[1]
## Li2AsIr (PBEsol)

Data for a relaxed Li2AsIr crystal.

POSCAR file:
```
Li2AsIr
1.0
-1.7618 -0.0058 2.0410
-0.6379 -1.5516 -2.1108
4.1909 -6.6188 3.5988
As Ir Li
1 1 2
Direct
0.5000 0.5000 0.5000
0.5000 0.5000 0.0000
0.0000 0.0000 0.2452
0.0000 0.0000 0.7548
```

**Raw total energy**: -19.55 eV for the cell shown
**DOS at the Fermi energy**: 2.25 states/eV/f.u.

[2]
## Li2AsIrRh (PBEsol)

Data for a relaxed Li2AsIrRh crystal.

POSCAR file:
```
Li2AsIrRh
1.0
-0.5909 4.2272 -0.6679
-3.9521 -0.2804 1.7222
1.6995 0.8763 4.0426
Li As Ir Rh
2 1 1 1
Direct
0.5000 0.0000 0.0000
0.0000 0.5000 0.0000
0.0000 0.0000 0.0000
0.0000 0.0000 0.5000
0.5000 0.5000 0.5000
```

**Raw total energy**: -24.09 eV for the cell shown
**DOS at the Fermi energy**: 6.64 states/eV/f.u.

[3]
## Mg2AsIr (PBEsol)

Data for a relaxed Mg2AsIr crystal.

POSCAR file:
```
Mg2AsIr
1.0
-0.0335 1.4416 2.6399
-0.8529 -1.4490 2.4943
7.8059 -2.3694 3.1068
Mg As Ir
2 1 1
Direct
0.2552 0.2552 0.2345
0.7448 0.7448 0.7655
0.5000 0.5000 0.5000
0.0000 0.0000 0.0000
```

**Raw total energy**: -18.91 eV for the cell shown
**DOS at the Fermi energy**: 1.98 states/eV/f.u.

[4]
## Mg2AsIr (PBEsol)

Data for a relaxed Mg2AsIr crystal.

POSCAR file:
```
Mg2AsIr
1.0
3.0009 0.0000 0.0000
0.0000 4.6878 -0.0018
-1.5004 -1.3992 4.8697
Ir As Mg
1 1 2
Direct
0.7769 0.2193 0.5538
0.4604 0.5094 0.9209
0.2311 0.7078 0.4623
0.0315 0.0635 0.0631
```

**Raw total energy**: -19.79 eV for the cell shown
**DOS at the Fermi energy**: 0.64 states/eV/f.u.

[5]
## Mg2AsIr (PBEsol)

Data for a relaxed Mg2AsIr crystal.

POSCAR file:
```
Mg2AsIr
1.0
2.9784 0.0000 0.0000
0.0000 2.9784 0.0000
0.0000 0.0000 7.5867
As Ir Mg
1 1 2
Direct
0.5000 0.5000 0.0000
0.5000 0.5000 0.5000
0.0000 0.0000 0.7202
0.0000 0.0000 0.2798
```

**Raw total energy**: -19.44 eV for the cell shown
**DOS at the Fermi energy**: 1.79 states/eV/f.u.

[6]
## Mg2MoAsIr (PBEsol)

Data for a relaxed Mg2MoAsIr crystal.

POSCAR file:
```
Mg2MoAsIr
1.0
-4.4760 -0.0032 1.0001
-0.7560 -3.6056 -3.3953
0.7886 -3.4784 3.5183
Mg Ir As Mo
2 1 1 1
Direct
0.0000 0.0000 0.5000
0.0000 0.5000 0.0000
0.5000 0.0000 0.0000
0.5000 0.5000 0.5000
0.0000 0.0000 0.0000
```

**Raw total energy**: -23.68 eV for the cell shown
**DOS at the Fermi energy**: 5.51 states/eV/f.u.

[7]
## Mg2AsIrRu (PBEsol)

Data for a relaxed Mg2AsIrRu crystal.

POSCAR file:
```
Mg2AsIrRu
1.0
-2.4928 3.2217 -1.6676
-2.7655 -3.2001 -2.0484
-2.7116 -0.1123 3.8365
Ir Ru As Mg
1 1 1 2
Direct
0.5000 0.5000 0.5000
0.5000 0.0000 0.0000
0.0000 0.0000 0.0000
0.0000 0.0000 0.5000
0.0000 0.5000 0.0000
```

**Raw total energy**: -24.08 eV for the cell shown
**DOS at the Fermi energy**: 4.17 states/eV/f.u.

[8]
## MnAs2Ir (PBEsol)

Data for a relaxed MnAs2Ir crystal.

POSCAR file:
```
MnAs2Ir
1.0
-1.9550 -3.3365 1.1894
0.0398 -1.3791 -3.8033
7.7105 -1.1237 2.6402
Ir As Mn
2 4 2
Direct
0.0000 0.0000 0.0000
0.2500 0.7500 0.5000
0.3871 0.8750 0.2500
0.1250 0.1371 0.7500
0.8629 0.3750 0.2500
0.6250 0.6129 0.7500
0.7500 0.2500 0.5000
0.5000 0.5000 0.0000
```

**DOS at the Fermi energy**: 2.36 states/eV/f.u.
**E above lowest polymorph**: 0.00 kcal/mol of atoms

[9]
## MnAs2Ir (PBEsol)

Data for a relaxed MnAs2Ir crystal.

POSCAR file:
```
MnAs2Ir
1.0
3.6071 0.0000 0.0000
0.0000 3.6399 0.0000
-1.8035 -1.8200 5.5750
Mn As Ir
1 2 1
Direct
0.0000 0.5000 0.0000
0.8436 0.8436 0.6873
0.1564 0.1564 0.3127
0.5000 0.0000 0.0000
```

**DOS at the Fermi energy**: 2.94 states/eV/f.u.
**E above lowest polymorph**: 1.87 kcal/mol of atoms

[10]
## MnAs2Ir (PBEsol)

Data for a relaxed MnAs2Ir crystal.

POSCAR file:
```
MnAs2Ir
1.0
2.9458 0.0000 0.0000
0.0000 4.3593 0.0000
-1.4729 -2.1796 4.6915
Ir Mn As
1 1 2
Direct
0.4881 0.4881 0.9763
0.2558 0.7558 0.5116
0.9893 0.9893 0.9785
0.7668 0.2668 0.5336
```

**DOS at the Fermi energy**: 2.19 states/eV/f.u.
**E above lowest polymorph**: 1.90 kcal/mol of atoms

[11]
## MnNb2AsIr (PBEsol)

Data for a relaxed MnNb2AsIr crystal.

POSCAR file:
```
MnNb2AsIr
1.0
-1.3376 3.8854 1.6629
-0.0059 -1.7795 4.1532
4.3077 1.2510 0.5421
Ir Mn As Nb
1 1 1 2
Direct
0.5000 0.0000 0.0000
0.0000 0.0000 0.0000
0.5000 0.5000 0.5000
0.0000 0.0000 0.5000
0.0000 0.5000 0.0000
```

**Raw total energy**: -42.27 eV for the cell shown
**DOS at the Fermi energy**: 5.57 states/eV/f.u.

[12]
## MnTcAsIr2 (PBEsol)

Data for a relaxed MnTcAsIr2 crystal.

POSCAR file:
```
MnTcAsIr2
1.0
-1.3826 -0.7267 4.2897
1.1499 -4.5327 -0.3973
4.3224 0.9602 1.5558
Mn Tc As Ir
1 1 1 2
Direct
0.5000 0.5000 0.5000
0.0000 0.0000 0.0000
0.5000 0.0000 0.0000
0.0000 0.0000 0.5000
0.0000 0.5000 0.0000
```

**Raw total energy**: -38.50 eV for the cell shown
**DOS at the Fermi energy**: 4.00 states/eV/f.u.

[13]
## MoAsIr (PBEsol)

Data for a relaxed MoAsIr crystal.

POSCAR file:
```
MoAsIr
1.0
-0.1848 0.2827 -2.8105
3.7803 -1.1743 -0.3667
-2.9952 -3.3154 1.2890
As Mo Ir
1 1 1
Direct
0.0003 0.0003 0.0006
0.3267 0.3267 0.6534
0.6730 0.6730 0.3460
```

**DOS at the Fermi energy**: 1.68 states/eV/f.u.
**E above lowest polymorph**: 2.49 kcal/mol of atoms

[14]
## MoAsIr (PBEsol)

Data for a relaxed MoAsIr crystal.

POSCAR file:
```
MoAsIr
1.0
2.9095 0.0000 0.0000
0.0000 2.9095 0.0000
-1.4547 -1.4547 5.2955
As Mo Ir
1 1 1
Direct
0.0031 0.0031 0.0062
0.6699 0.6699 0.3397
0.3271 0.3271 0.6541
```

**DOS at the Fermi energy**: 1.42 states/eV/f.u.
**E above lowest polymorph**: 0.00 kcal/mol of atoms

[15]
## Mo2AsIr (PBEsol)

Data for a relaxed Mo2AsIr crystal.

POSCAR file:
```
Mo2AsIr
1.0
2.7854 0.0000 0.0078
0.0000 4.0161 0.0000
-1.1245 0.0000 5.2824
As Mo Ir
1 2 1
Direct
0.5000 0.5000 0.0000
0.9285 0.0000 0.2461
0.0715 0.0000 0.7539
0.5000 0.5000 0.5000
```

**DOS at the Fermi energy**: 2.72 states/eV/f.u.
**E above lowest polymorph**: 2.78 kcal/mol of atoms